Ca4P2Pt, optimized geometry, DFT PBE; raw total energy = -31.412 eV per cell; density = 3.46 Mg/m³; formation energy from the elements = -0.94 eV per atom
1.0
2.262 1.306 11.304
-2.262 1.306 11.304
0.000 -2.612 11.304
Ca P Pt
4 2 1
direct
0.127 0.127 0.127 Ca
0.284 0.284 0.284 Ca
0.716 0.716 0.716 Ca
0.873 0.873 0.873 Ca
0.427 0.427 0.427 P
0.573 0.573 0.573 P
0.500 0.500 0.500 Pt

=====

Tb3ErRu, optimized geometry, DFT PBE; raw total energy = -57.626 eV per cell; density = 8.92 Mg/m³; formation energy from the elements = -0.22 eV per atom
1.0
5.960 -1.922 0.000
5.960 1.922 0.000
-5.391 0.000 12.110
Tb Er Ru
6 2 2
direct
0.000 0.000 0.000 Tb
0.018 0.018 0.374 Tb
0.335 0.335 0.762 Tb
0.359 0.359 0.132 Tb
0.689 0.689 0.238 Tb
0.795 0.795 0.518 Tb
0.554 0.554 0.619 Er
0.668 0.668 0.895 Er
0.357 0.357 0.392 Ru
0.999 0.999 0.751 Ru

=====

CaBeGa2Co, optimized geometry, DFT PBE; raw total energy = -10.789 eV per cell; density = 3.16 Mg/m³; formation energy from the elements = 1.62 eV per atom
1.0
5.404 0.000 0.000
0.000 5.404 0.000
0.000 0.000 4.453
Ca Be Ga Co
1 1 2 1
direct
0.000 0.000 0.000 Ca
0.500 0.500 0.500 Be
0.000 0.500 0.000 Ga
0.500 0.000 0.000 Ga
0.000 0.000 0.500 Co

=====

U2FePd, optimized geometry, DFT PBE; raw total energy = -35.329 eV per cell; density = 14.50 Mg/m³; formation energy from the elements = 0.23 eV per atom
1.0
1.477 0.853 9.665
-1.477 0.853 9.665
0.000 -1.706 9.665
U Fe Pd
2 1 1
direct
0.093 0.093 0.093 U
0.907 0.907 0.907 U
0.500 0.500 0.500 Fe
0.000 0.000 0.000 Pd

=====

LaPd6Au6, optimized geometry, DFT PBE; raw total energy = -59.758 eV per cell; density = 13.65 Mg/m³; formation energy from the elements = -0.31 eV per atom
1.0
-2.749 4.637 4.675
2.749 -4.637 4.675
2.749 4.637 -4.675
La Pd Au
1 6 6
direct
0.000 0.000 0.000 La
0.000 0.000 0.500 Pd
0.000 0.500 0.000 Pd
0.229 0.500 0.729 Pd
0.500 0.000 0.000 Pd
0.500 0.500 0.500 Pd
0.771 0.500 0.271 Pd
0.201 0.701 0.500 Au
0.340 0.000 0.340 Au
0.347 0.347 0.000 Au
0.653 0.653 0.000 Au
0.660 0.000 0.660 Au
0.799 0.299 0.500 Au

=====

CaH3W, optimized geometry, DFT PBE; raw total energy = -19.411 eV per cell; density = 7.06 Mg/m³
1.0
3.765 0.000 0.000
0.000 3.765 0.000
0.000 0.000 3.765
Ca H W
1 3 1
direct
0.000 0.000 0.000 Ca
0.000 0.000 0.500 H
0.000 0.500 0.000 H
0.500 0.000 0.000 H
0.500 0.500 0.500 W

=====

PuHfP, optimized geometry, DFT PBE; raw total energy = -31.000 eV per cell; density = 11.77 Mg/m³; formation energy from the elements = -0.43 eV per atom
1.0
4.455 0.000 0.000
-2.227 3.858 0.000
0.000 0.000 3.723
Pu Hf P
1 1 1
direct
0.000 0.000 0.000 Pu
0.667 0.333 0.500 Hf
0.333 0.667 0.500 P

=====

ScCrIn2, optimized geometry, DFT PBE; raw total energy = -21.000 eV per cell; density = 6.35 Mg/m³; formation energy from the elements = 0.11 eV per atom
1.0
3.627 0.000 0.000
0.000 3.627 0.000
0.000 0.000 6.493
Sc Cr In
1 1 2
direct
0.000 0.000 0.000 Sc
0.500 0.500 0.219 Cr
0.000 0.000 0.457 In
0.500 0.500 0.739 In

=====

CsSr2MgCu, optimized geometry, DFT PBE; raw total energy = -9.235 eV per cell; density = 3.15 Mg/m³; formation energy from the elements = 0.13 eV per atom
1.0
6.229 0.000 0.000
0.000 6.229 0.000
0.000 0.000 5.375
Cs Sr Mg Cu
1 2 1 1
direct
0.000 0.000 0.000 Cs
0.000 0.500 0.500 Sr
0.500 0.000 0.500 Sr
0.500 0.500 0.000 Mg
0.500 0.500 0.500 Cu

=====

La4InSn2, optimized geometry, DFT PBE; raw total energy = -68.490 eV per cell; density = 6.69 Mg/m³; formation energy from the elements = -0.54 eV per atom
1.0
6.054 0.000 0.000
0.000 6.852 0.000
-2.270 0.000 10.867
La In Sn
8 2 4
direct
0.159 0.250 0.123 La
0.253 0.750 0.455 La
0.316 0.021 0.740 La
0.316 0.479 0.740 La
0.684 0.521 0.260 La
0.684 0.979 0.260 La
0.747 0.250 0.545 La
0.841 0.750 0.877 La
0.114 0.750 0.172 In
0.886 0.250 0.828 In
0.208 0.250 0.432 Sn
0.396 0.750 0.999 Sn
0.604 0.250 0.001 Sn
0.792 0.750 0.568 Sn

=====

Sm4DyZn, optimized geometry, DFT PBE; raw total energy = -25.328 eV per cell; density = 7.59 Mg/m³; formation energy from the elements = -0.10 eV per atom
1.0
3.620 0.000 0.000
0.000 3.620 0.000
0.000 0.000 13.856
Sm Dy Zn
4 1 1
direct
0.000 0.000 0.131 Sm
0.000 0.000 0.869 Sm
0.500 0.500 0.319 Sm
0.500 0.500 0.681 Sm
0.000 0.000 0.500 Dy
0.500 0.500 0.000 Zn

=====

YHf3Ga, optimized geometry, DFT PBE; raw total energy = -31.132 eV per cell; density = 8.36 Mg/m³; formation energy from the elements = 1.64 eV per atom
1.0
5.166 0.000 0.000
0.000 5.166 0.000
0.000 0.000 5.166
Y Hf Ga
1 3 1
direct
0.000 0.000 0.000 Y
0.000 0.000 0.500 Hf
0.000 0.500 0.000 Hf
0.500 0.000 0.000 Hf
0.500 0.500 0.500 Ga

=====

Sm3ErHg3, optimized geometry, DFT PBE; raw total energy = -43.560 eV per cell; density = 10.02 Mg/m³; formation energy from the elements = -0.31 eV per atom
1.0
5.154 -5.377 0.000
5.154 5.377 0.000
0.000 0.000 7.300
Sm Er Hg
6 2 6
direct
0.189 0.189 0.500 Sm
0.220 0.780 0.000 Sm
0.249 0.249 0.000 Sm
0.751 0.751 0.000 Sm
0.780 0.220 0.000 Sm
0.811 0.811 0.500 Sm
0.288 0.712 0.500 Er
0.712 0.288 0.500 Er
0.000 0.500 0.260 Hg
0.000 0.500 0.740 Hg
0.500 0.000 0.260 Hg
0.500 0.000 0.740 Hg
0.500 0.500 0.228 Hg
0.500 0.500 0.772 Hg

=====

AlCuS2N, optimized geometry, DFT PBE; raw total energy = -20.544 eV per cell; density = 3.55 Mg/m³
1.0
4.704 0.000 0.000
0.000 4.704 0.000
0.000 0.000 3.561
Al Cu S N
1 1 2 1
direct
0.000 0.000 0.000 Al
0.500 0.500 0.500 Cu
0.000 0.500 0.500 S
0.500 0.000 0.500 S
0.500 0.500 0.000 N

=====

BaLiGaH6, optimized geometry, DFT PBE; raw total energy = -28.671 eV per cell; density = 3.21 Mg/m³
1.0
4.965 0.000 0.000
-2.483 4.300 0.000
0.000 0.000 5.329
Ba Li Ga H
1 1 1 6
direct
0.000 0.000 0.000 Ba
0.333 0.667 0.500 Li
0.667 0.333 0.500 Ga
0.406 0.024 0.696 H
0.406 0.382 0.304 H
0.618 0.024 0.304 H
0.618 0.594 0.696 H
0.976 0.382 0.696 H
0.976 0.594 0.304 H

=====

Dy2LuPb, optimized geometry, DFT PBE; raw total energy = -18.256 eV per cell; density = 9.85 Mg/m³; formation energy from the elements = -0.21 eV per atom
1.0
3.596 0.000 0.000
0.000 3.596 0.000
0.000 0.000 9.217
Dy Lu Pb
2 1 1
direct
0.000 0.000 0.239 Dy
0.000 0.000 0.761 Dy
0.500 0.500 0.500 Lu
0.500 0.500 0.000 Pb

=====

Sc6GaTe3Se2, optimized geometry, DFT PBE; raw total energy = -72.076 eV per cell; density = 5.25 Mg/m³
1.0
3.469 -6.001 0.000
3.469 6.001 0.000
-2.308 0.000 6.689
Sc Ga Te Se
6 1 3 2
direct
0.072 0.397 0.218 Sc
0.251 0.251 0.781 Sc
0.397 0.072 0.218 Sc
0.603 0.928 0.782 Sc
0.749 0.749 0.219 Sc
0.928 0.603 0.782 Sc
0.000 0.000 0.000 Ga
0.169 0.831 0.500 Te
0.500 0.500 0.500 Te
0.831 0.169 0.500 Te
0.334 0.666 0.000 Se
0.666 0.334 0.000 Se

=====

Pm4Al2Co, optimized geometry, DFT PBE; raw total energy = -33.733 eV per cell; density = 5.66 Mg/m³; formation energy from the elements = -0.02 eV per atom
1.0
-2.555 2.555 7.782
2.555 -2.555 7.782
2.555 2.555 -7.782
Pm Al Co
4 2 1
direct
0.000 0.500 0.500 Pm
0.180 0.180 0.000 Pm
0.500 0.000 0.500 Pm
0.820 0.820 0.000 Pm
0.373 0.373 0.000 Al
0.627 0.627 0.000 Al
0.000 0.000 0.000 Co

=====

AcHo3Cu, optimized geometry, DFT PBE; raw total energy = -21.807 eV per cell; density = 8.14 Mg/m³; formation energy from the elements = 0.03 eV per atom
1.0
5.430 0.000 0.000
0.000 5.430 0.000
0.000 0.000 5.430
Ac Ho Cu
1 3 1
direct
0.000 0.000 0.000 Ac
0.000 0.500 0.500 Ho
0.500 0.000 0.500 Ho
0.500 0.500 0.000 Ho
0.500 0.500 0.500 Cu

=====

PrSc2Zn3, optimized geometry, DFT PBE; raw total energy = -23.210 eV per cell; density = 5.65 Mg/m³; formation energy from the elements = -0.32 eV per atom
1.0
3.456 0.000 0.000
0.000 3.456 0.000
0.000 0.000 10.507
Pr Sc Zn
1 2 3
direct
0.000 0.000 0.000 Pr
0.000 0.000 0.345 Sc
0.000 0.000 0.655 Sc
0.500 0.500 0.201 Zn
0.500 0.500 0.500 Zn
0.500 0.500 0.799 Zn